No. 1
Density functional theory data (PBE) for crystalline TaMn2Al at its relaxed geometry.

Cell lengths 4.027, 2.678, 5.171 Å; angles 79.97, 90.00, 90.00 degrees
Last column: magnetic moment on the atom in μB.
Fractional coordinates of all 4 atoms:
Mn 0.000 0.056 0.979  0.83
Mn 0.000 0.444 0.521  0.83
Al 0.500 0.750 0.750  -0.02
Ta 0.500 0.250 0.250  -0.18

Output
total moment = 1.41 Bohr magnetons per cell
mass density = 9.61 g/cm3
DOS(E_F) = 4.18 states/eV/f.u.
DFT total energy = -8.4902 eV/atom

No. 2
Density functional theory data (PBE) for crystalline TaMn2Al at its relaxed geometry.

Cell lengths 3.075, 3.075, 5.779 Å; angles 90.00, 90.00, 90.00 degrees
Last column: magnetic moment on the atom in μB.
Fractional coordinates of all 4 atoms:
Mn 0.000 0.000 0.995  1.13
Mn 0.000 0.000 0.505  1.13
Al 0.500 0.500 0.750  -0.04
Ta 0.500 0.500 0.250  -0.32

Output
total moment = 1.85 Bohr magnetons per cell
mass density = 9.66 g/cm3
DOS(E_F) = 2.98 states/eV/f.u.
DFT total energy = -8.7112 eV/atom

No. 3
Density functional theory data (PBE) for crystalline TaMnAl at its relaxed geometry.

Cell lengths 4.293, 4.293, 2.788 Å; angles 90.00, 90.00, 120.00 degrees
Last column: magnetic moment on the atom in μB.
Fractional coordinates of all 3 atoms:
Mn 0.667 0.333 0.320  1.24
Al 0.000 0.000 0.067  -0.01
Ta 0.333 0.667 0.613  -0.22

Output
total moment = 0.97 Bohr magnetons per cell
mass density = 9.81 g/cm3
DOS(E_F) = 1.84 states/eV/f.u.
DFT total energy = -8.3919 eV/atom
energy relative to the lowest polymorph listed for this composition = 13.5 kJ/mol of atoms

No. 4
Density functional theory data (PBE) for crystalline TaMn5Al4 at its relaxed geometry.

Cell lengths 3.018, 3.018, 14.453 Å; angles 90.00, 90.00, 90.00 degrees
Last column: magnetic moment on the atom in μB.
Fractional coordinates of all 10 atoms:
Ta 0.000 0.000 0.000  -0.25
Mn 0.500 0.500 0.105  0.87
Mn 0.500 0.500 0.303  2.17
Mn 0.500 0.500 0.500  1.70
Mn 0.500 0.500 0.697  2.17
Mn 0.500 0.500 0.895  0.87
Al 0.000 0.000 0.201  -0.04
Al 0.000 0.000 0.403  -0.05
Al 0.000 0.000 0.597  -0.05
Al 0.000 0.000 0.799  -0.04

Output
total moment = 7.47 Bohr magnetons per cell
mass density = 7.11 g/cm3
DOS(E_F) = 7.56 states/eV/f.u.
DFT total energy = -7.4916 eV/atom

No. 5
Density functional theory data (PBE) for crystalline TaMn2Al at its relaxed geometry.

Cell lengths 8.835, 8.835, 8.835 Å; angles 18.25, 18.25, 18.25 degrees
Last column: magnetic moment on the atom in μB.
Fractional coordinates of all 4 atoms:
Mn 0.996 0.996 0.996  -2.09
Mn 0.258 0.258 0.258  2.57
Al 0.743 0.743 0.743  0.02
Ta 0.503 0.503 0.503  -0.14

Output
total moment = 0.37 Bohr magnetons per cell
mass density = 8.93 g/cm3
DOS(E_F) = 4.77 states/eV/f.u.
DFT total energy = -8.3463 eV/atom

No. 6
Density functional theory data (PBE) for crystalline TaMn2Al at its relaxed geometry.

Cell lengths 2.807, 2.807, 7.237 Å; angles 90.00, 90.00, 90.00 degrees
Last column: magnetic moment on the atom in μB.
Fractional coordinates of all 4 atoms:
Mn 0.000 0.000 0.980  2.25
Mn 0.000 0.000 0.520  2.25
Al 0.500 0.500 0.750  -0.06
Ta 0.500 0.500 0.250  -0.10

Output
total moment = 4.45 Bohr magnetons per cell
mass density = 9.25 g/cm3
DOS(E_F) = 4.98 states/eV/f.u.
DFT total energy = -8.5250 eV/atom

Number 1: E_form -7 meV/atom. Number 2: E_form -228 meV/atom. Number 3: E_form -137 meV/atom. Number 4: E_form -225 meV/atom. Number 5: E_form 137 meV/atom. Number 6: E_form -41 meV/atom.